Entry from Alexandria via LeMat-Bulk: a relaxed structure of RbBaAc2Te4 (PBE-GGA).

Unit cell a=8.400 b=4.837 c=8.670 alpha=90.00 beta=108.69 gamma=90.00
Element x y z (fractional)
Rb 0.000 0.000 0.000
Ba 0.500 0.500 0.000
Ac 0.000 0.500 0.500
Ac 0.500 0.000 0.500
Te 0.247 0.000 0.732
Te 0.262 0.500 0.274
Te 0.738 0.500 0.726
Te 0.753 0.000 0.268

Calculated values
Space-group type: No. 10
DFT total energy (eV/atom): -4.511

---

Entry from Alexandria via LeMat-Bulk: a relaxed structure of Ba3AcRh2 (PBE-GGA).

Unit cell a=9.567 b=9.567 c=12.764 alpha=118.93 beta=118.93 gamma=28.16
Element x y z (fractional)
Ba 0.050 0.050 0.240
Ba 0.220 0.220 0.603
Ba 0.333 0.333 0.978
Ba 0.667 0.667 0.022
Ba 0.780 0.780 0.397
Ba 0.950 0.950 0.760
Ac 0.422 0.422 0.337
Ac 0.578 0.578 0.663
Rh 0.138 0.138 0.820
Rh 0.394 0.394 0.557
Rh 0.606 0.606 0.443
Rh 0.862 0.862 0.180

Calculated values
Calculated formation energy (kJ/mol of formula units): -170
Space-group type: No. 12
DFT total energy (eV/atom): -4.390

---

Entry from Alexandria via LeMat-Bulk: a relaxed structure of Ba2Ac4Rh (PBE-GGA).

Unit cell a=11.117 b=11.117 c=11.117 alpha=149.27 beta=149.27 gamma=44.01
Element x y z (fractional)
Ba 0.162 0.162 0.000
Ba 0.838 0.838 0.000
Ac 0.000 0.500 0.500
Ac 0.360 0.360 0.000
Ac 0.500 0.000 0.500
Ac 0.640 0.640 0.000
Rh 0.500 0.500 0.000

Calculated values
Calculated formation energy (kJ/mol of formula units): -30
Space-group type: No. 139
DFT total energy (eV/atom): -3.991

---

Entry from Alexandria via LeMat-Bulk: a relaxed structure of BaAcRh4 (PBE-GGA).

Unit cell a=5.582 b=5.582 c=5.582 alpha=60.00 beta=60.00 gamma=60.00
Element x y z (fractional)
Ba 0.000 0.000 0.000
Ac 0.750 0.750 0.750
Rh 0.375 0.375 0.375
Rh 0.375 0.375 0.875
Rh 0.375 0.875 0.375
Rh 0.875 0.375 0.375

Calculated values
Calculated formation energy (kJ/mol of formula units): -200
Space-group type: No. 216
DFT total energy (eV/atom): -6.252

---

Entry from Alexandria via LeMat-Bulk: a relaxed structure of Ba3AcRh8 (PBE-GGA).

Unit cell a=9.726 b=9.726 c=9.726 alpha=33.47 beta=33.47 gamma=33.47
Element x y z (fractional)
Ba 0.000 0.000 0.000
Ba 0.124 0.124 0.124
Ba 0.628 0.628 0.628
Ac 0.501 0.501 0.501
Rh 0.063 0.063 0.559
Rh 0.063 0.559 0.063
Rh 0.068 0.563 0.563
Rh 0.313 0.313 0.313
Rh 0.559 0.063 0.063
Rh 0.563 0.068 0.563
Rh 0.563 0.563 0.068
Rh 0.813 0.813 0.813

Calculated values
Calculated formation energy (kJ/mol of formula units): -257
Space-group type: No. 160
DFT total energy (eV/atom): -5.946

---

Entry from Alexandria via LeMat-Bulk: a relaxed structure of BaAcRh (PBE-GGA).

Unit cell a=4.407 b=4.407 c=14.551 alpha=98.79 beta=98.79 gamma=60.01
Element x y z (fractional)
Ba 0.214 0.214 0.142
Ba 0.786 0.786 0.858
Ac 0.375 0.375 0.627
Ac 0.625 0.625 0.373
Rh 0.075 0.075 0.726
Rh 0.925 0.925 0.274

Calculated values
Calculated formation energy (kJ/mol of formula units): -119
Space-group type: No. 12
DFT total energy (eV/atom): -4.871

---

Entry from Alexandria via LeMat-Bulk: a relaxed structure of BaAc3Rh (PBE-GGA).

Unit cell a=6.018 b=6.018 c=6.018 alpha=90.00 beta=90.00 gamma=90.00
Element x y z (fractional)
Ba 0.000 0.000 0.000
Ac 0.000 0.500 0.500
Ac 0.500 0.000 0.500
Ac 0.500 0.500 0.000
Rh 0.500 0.500 0.500

Calculated values
Calculated formation energy (kJ/mol of formula units): -126
Space-group type: No. 221
DFT total energy (eV/atom): -4.581

---

Entry from Alexandria via LeMat-Bulk: a relaxed structure of BaAcRh (PBE-GGA).

Unit cell a=5.294 b=5.294 c=5.294 alpha=60.00 beta=60.00 gamma=60.00
Element x y z (fractional)
Ba 0.000 0.000 0.000
Ac 0.500 0.500 0.500
Rh 0.750 0.750 0.750

Calculated values
Calculated formation energy (kJ/mol of formula units): -72
Space-group type: No. 216
DFT total energy (eV/atom): -4.709

---

Entry from Alexandria via LeMat-Bulk: a relaxed structure of BaAcRh (PBE-GGA).

Unit cell a=8.505 b=8.505 c=10.198 alpha=91.76 beta=91.76 gamma=39.49
Element x y z (fractional)
Ba 0.055 0.055 0.319
Ba 0.412 0.412 0.110
Ba 0.588 0.588 0.890
Ba 0.945 0.945 0.681
Ac 0.253 0.253 0.839
Ac 0.308 0.308 0.425
Ac 0.692 0.692 0.575
Ac 0.747 0.747 0.161
Rh 0.153 0.153 0.596
Rh 0.218 0.218 0.139
Rh 0.782 0.782 0.861
Rh 0.847 0.847 0.404

Calculated values
Calculated formation energy (kJ/mol of formula units): -95
Space-group type: No. 12
DFT total energy (eV/atom): -4.787

---

Entry from Alexandria via LeMat-Bulk: a relaxed structure of BaAcRh (PBE-GGA).

Unit cell a=4.399 b=4.399 c=7.211 alpha=90.00 beta=90.00 gamma=120.00
Element x y z (fractional)
Ba 0.000 0.000 0.000
Ac 0.333 0.667 0.539
Rh 0.667 0.333 0.733

Calculated values
Calculated formation energy (kJ/mol of formula units): -117
Space-group type: No. 156
DFT total energy (eV/atom): -4.867

---

Entry from Alexandria via LeMat-Bulk: a relaxed structure of BaAcRh (PBE-GGA).

Unit cell a=10.224 b=10.224 c=11.894 alpha=90.83 beta=90.83 gamma=24.79
Element x y z (fractional)
Ba 0.058 0.058 0.354
Ba 0.417 0.417 0.113
Ba 0.583 0.583 0.887
Ba 0.942 0.942 0.646
Ac 0.202 0.202 0.623
Ac 0.209 0.209 0.126
Ac 0.791 0.791 0.874
Ac 0.798 0.798 0.377
Rh 0.190 0.190 0.877
Rh 0.201 0.201 0.372
Rh 0.799 0.799 0.628
Rh 0.810 0.810 0.123

Calculated values
Calculated formation energy (kJ/mol of formula units): -84
Space-group type: No. 12
DFT total energy (eV/atom): -4.750

---

Entry from Alexandria via LeMat-Bulk: a relaxed structure of Ba3AcRh (PBE-GGA).

Unit cell a=6.165 b=6.165 c=6.165 alpha=90.00 beta=90.00 gamma=90.00
Element x y z (fractional)
Ba 0.000 0.000 0.500
Ba 0.000 0.500 0.000
Ba 0.500 0.000 0.000
Ac 0.500 0.500 0.500
Rh 0.000 0.000 0.000

Calculated values
Calculated formation energy (kJ/mol of formula units): 16
Space-group type: No. 221
DFT total energy (eV/atom): -3.413

---

- Which of these has the highest DFT total energy?
  Ba3AcRh